Crystalline MgIr2Au at its relaxed geometry, computed with PBE.

Properties
ΔH_f (0 K) = 0.144 eV/atom
Density = 15844 kg/m3
D(E_F) = 6.59 states/eV per cell
Total magnetization = 0.0 μB/f.u.

extended XYZ file:
```
4
Lattice="-0.736 2.571 -0.741 -2.314 -0.226 1.515 3.991 3.028 6.547" Properties=species:S:1:pos:R:3 pbc="T T T"
Au 1.468 3.444 5.297
Ir 0.030 0.023 0.049
Ir 1.966 1.492 3.225
Mg -0.527 1.929 2.024
```

---

Crystalline ScCrAg2 at its relaxed geometry, computed with PBE.

Properties
ΔH_f (0 K) = 0.091 eV/atom
Density = 7173 kg/m3
D(E_F) = 2.23 states/eV per cell
Total magnetization = 3.9 μB/f.u.

extended XYZ file:
```
4
Lattice="5.051 -0.638 0.506 3.868 3.309 0.506 1.404 0.421 3.933" Properties=species:S:1:pos:R:3 pbc="T T T"
Ag 8.916 2.671 1.012
Ag 2.575 0.771 1.238
Cr 5.168 1.548 2.470
Sc 7.744 2.320 3.707
```

---

Crystalline Cs6Rb8S at its relaxed geometry, computed with PBE.

Properties
Energy relative to the elements, uncorrected = -0.174 eV/atom
Density = 1787 kg/m3
D(E_F) = 13.33 states/eV per cell
Total magnetization = 0.0 μB/f.u.

extended XYZ file:
```
15
Lattice="-6.363 1.601 -9.644 4.173 -7.205 -8.169 -7.392 -8.984 -0.833" Properties=species:S:1:pos:R:3 pbc="T T T"
Cs -3.615 -8.616 -6.015
Cs -2.914 -10.087 -10.981
Cs -7.858 -9.425 -8.959
Cs -1.725 -5.164 -9.687
Cs -6.669 -4.502 -7.664
Cs -5.968 -5.973 -12.631
Rb -4.778 -13.764 -7.487
Rb 1.537 -9.104 -7.940
Rb -8.460 -7.928 -3.722
Rb -7.197 -10.957 -14.003
Rb -2.386 -3.632 -4.642
Rb -1.122 -6.661 -14.923
Rb -11.119 -5.485 -10.705
Rb -4.805 -0.825 -11.159
S 0.000 0.000 0.000
```

---

Crystalline NbOs4 at its relaxed geometry, computed with PBE.

Properties
ΔH_f (0 K) = 0.077 eV/atom
Density = 18527 kg/m3
D(E_F) = 5.05 states/eV per cell
Total magnetization = 0.0 μB/f.u.

extended XYZ file:
```
10
Lattice="4.282 0.000 0.000 0.000 2.701 -0.466 0.000 2.213 12.849" Properties=species:S:1:pos:R:3 pbc="T T T"
Nb 0.000 0.000 0.000
Nb 2.141 1.107 6.424
Os 2.142 0.662 3.842
Os 0.000 3.146 2.117
Os 2.141 4.253 8.541
Os 4.282 1.768 10.266
Os 4.282 2.716 7.695
Os 2.141 3.305 11.113
Os 0.000 2.199 4.689
Os 2.142 1.609 1.270
```

---

Crystalline LiZr2InPd at its relaxed geometry, computed with PBE.

Properties
ΔH_f (0 K) = 0.148 eV/atom
Density = 5837 kg/m3
D(E_F) = 4.75 states/eV per cell
Total magnetization = 0.0 μB/f.u.

extended XYZ file:
```
5
Lattice="-4.128 2.545 -1.600 -2.038 -0.856 3.895 1.908 4.319 1.946" Properties=species:S:1:pos:R:3 pbc="T T T"
Li -1.019 -0.428 1.948
Zr 0.954 2.160 0.973
Zr -2.064 1.272 -0.800
Pd 0.000 0.000 0.000
In -2.129 3.004 2.121
```

---

Crystalline Pa2Si3Ir4Pd at its relaxed geometry, computed with PBE.

Properties
Energy relative to the elements, uncorrected = -0.863 eV/atom
Density = 13616 kg/m3
D(E_F) = 10.24 states/eV per cell
Total magnetization = 0.0 μB/f.u.

extended XYZ file:
```
10
Lattice="-3.250 1.992 -1.136 -1.612 -3.386 -1.325 -4.493 -1.714 9.849" Properties=species:S:1:pos:R:3 pbc="T T T"
Pa -2.759 0.563 1.919
Pa -4.164 -2.974 6.700
Si -2.246 -0.857 4.925
Si -5.578 -0.512 8.099
Si -1.346 -1.899 0.521
Ir -2.431 -0.697 -1.230
Ir 0.000 0.000 0.000
Ir -4.625 -0.149 6.010
Ir -2.298 -2.262 2.609
Pd -4.677 -1.554 3.694
```

---

Crystalline SiAg2S2 at its relaxed geometry, computed with PBE.

Properties
Energy relative to the elements, uncorrected = 0.397 eV/atom
Density = 5245 kg/m3
D(E_F) = 0.04 states/eV per cell
Total magnetization = 0.0 μB/f.u.

extended XYZ file:
```
5
Lattice="-0.176 -3.537 -1.329 1.738 -1.257 3.116 -5.261 -3.237 3.926" Properties=species:S:1:pos:R:3 pbc="T T T"
S -0.507 -2.576 1.540
S -3.192 -5.455 4.173
Si 0.000 0.000 0.000
Ag -2.328 -4.586 1.745
Ag -1.371 -3.446 3.967
```

---

Crystalline K4YNb3O12 at its relaxed geometry, computed with PBE.

Properties
Energy relative to the elements, uncorrected = -2.315 eV/atom
Density = 4092 kg/m3
D(E_F) = 12.11 states/eV per cell
Total magnetization = 2.0 μB/f.u.

extended XYZ file:
```
20
Lattice="-5.966 1.717 -3.700 -1.594 -5.026 4.942 2.568 5.894 3.300" Properties=species:S:1:pos:R:3 pbc="T T T"
K -2.496 1.292 2.271
K 1.284 2.947 1.650
K -2.983 0.859 -1.850
K -0.797 -2.513 2.471
Y 0.000 0.000 0.000
Nb -1.699 3.806 -0.200
Nb -3.780 -1.655 0.621
Nb 0.487 0.434 4.121
O -0.362 2.337 4.021
O -2.488 5.574 -0.293
O -0.910 2.038 -0.107
O -4.629 0.248 0.521
O -5.535 -2.423 0.910
O -2.024 -0.886 0.333
O -3.589 2.978 0.111
O -1.403 -0.393 4.432
O -1.455 4.023 1.861
O 0.713 0.636 6.035
O -3.536 -1.438 2.682
O 0.261 0.232 2.207
```

---

Crystalline PmPuCu at its relaxed geometry, computed with PBE.

Properties
ΔH_f (0 K) = 0.080 eV/atom
Density = 10034 kg/m3
D(E_F) = 9.68 states/eV per cell
Total magnetization = 6.2 μB/f.u.

extended XYZ file:
```
3
Lattice="-0.610 0.283 -3.445 -3.237 -1.274 0.469 -0.175 6.137 2.323" Properties=species:S:1:pos:R:3 pbc="T T T"
Pu -0.105 0.283 0.042
Cu -2.620 1.377 -1.211
Pm -1.297 3.487 0.516
```

---

Crystalline Pd2PtW at its relaxed geometry, computed with PBE.

Properties
ΔH_f (0 K) = 0.002 eV/atom
Density = 15712 kg/m3
D(E_F) = 2.81 states/eV per cell
Total magnetization = 0.0 μB/f.u.

extended XYZ file:
```
4
Lattice="-1.002 -2.179 -1.302 1.657 -2.794 3.399 -4.277 0.298 2.330" Properties=species:S:1:pos:R:3 pbc="T T T"
Pd -4.000 -1.441 0.766
Pd -1.279 -0.440 0.262
Pt -1.811 -2.338 2.213
W 0.829 -1.397 1.699
```

---

Crystalline CrHg2Ir at its relaxed geometry, computed with PBE.

Properties
ΔH_f (0 K) = 0.222 eV/atom
Density = 14574 kg/m3
D(E_F) = 2.39 states/eV per cell
Total magnetization = 2.4 μB/f.u.

extended XYZ file:
```
4
Lattice="-1.700 -1.025 -2.152 -1.017 -2.112 1.809 -6.764 4.106 3.388" Properties=species:S:1:pos:R:3 pbc="T T T"
Cr -6.514 0.657 2.842
Hg -6.724 3.517 3.637
Hg -2.808 0.552 -0.036
Ir -4.089 1.347 2.589
```

---

Crystalline PrNdYCd at its relaxed geometry, computed with PBE.

Properties
ΔH_f (0 K) = -0.158 eV/atom
Density = 6460 kg/m3
D(E_F) = 4.36 states/eV per cell
Total magnetization = 0.0 μB/f.u.

extended XYZ file:
```
4
Lattice="-2.841 -0.839 2.225 1.779 -3.052 1.120 3.881 4.736 6.742" Properties=species:S:1:pos:R:3 pbc="T T T"
Pr 0.297 0.362 0.516
Nd 2.549 1.814 7.023
Y 0.838 -0.275 4.051
Cd 2.180 2.661 3.787
```

---

Please write out number 7 again, unchanged.
Crystalline SiAg2S2 at its relaxed geometry, computed with PBE.

Properties
Energy relative to the elements, uncorrected = 0.397 eV/atom
Density = 5245 kg/m3
D(E_F) = 0.04 states/eV per cell
Total magnetization = 0.0 μB/f.u.

extended XYZ file:
```
5
Lattice="-0.176 -3.537 -1.329 1.738 -1.257 3.116 -5.261 -3.237 3.926" Properties=species:S:1:pos:R:3 pbc="T T T"
S -0.507 -2.576 1.540
S -3.192 -5.455 4.173
Si 0.000 0.000 0.000
Ag -2.328 -4.586 1.745
Ag -1.371 -3.446 3.967
```

---

> Which value of D(E_F) does entry 5 give?

4.75 states/eV per cell

---

> What is the D(E_F) in the fifth record?

4.75 states/eV per cell